No. 1
Ni12Te3H5: relaxed, PBE.

Geometry as CIF:
```
data_Ni12Te3H5
_symmetry_space_group_name_H-M 'I a -3 d'
_symmetry_Int_Tables_number 230
_symmetry_space_group_name_Hall '-I 4bd 2c 3'
_cell_length_a 12.048
_cell_length_b 12.048
_cell_length_c 12.048
_cell_angle_alpha 90.00
_cell_angle_beta 90.00
_cell_angle_gamma 90.00
loop_
_atom_site_label
_atom_site_type_symbol
_atom_site_fract_x
_atom_site_fract_y
_atom_site_fract_z
Ni1 Ni 0.046 0.141 0.951
Te1 Te 0.000 0.250 0.125
H1 H 0.000 0.000 0.000
H2 H 0.000 0.250 0.375
```

Summary:
Theoretical density, g/cm³: 8.296
E, eV/atom: -4.763

***

No. 2
NiTe3H: relaxed, PBE.

Geometry as CIF:
```
data_NiTe3H
_symmetry_space_group_name_H-M 'P -1'
_symmetry_Int_Tables_number 2
_cell_length_a 5.310
_cell_length_b 7.050
_cell_length_c 7.055
_cell_angle_alpha 119.78
_cell_angle_beta 91.33
_cell_angle_gamma 91.32
loop_
_symmetry_equiv_pos_as_xyz
'x,y,z'
'-x,-y,-z'
loop_
_atom_site_label
_atom_site_type_symbol
_atom_site_fract_x
_atom_site_fract_y
_atom_site_fract_z
Ni1 Ni 0.000 0.167 0.333
Te1 Te 0.252 0.154 0.653
Te2 Te 0.269 0.514 0.393
Te3 Te 0.269 0.893 0.014
H1 H 0.157 0.382 0.880
```

Summary:
ΔE to the lowest computed polymorph, meV per atom: 0
Theoretical density, g/cm³: 6.417
E, eV/atom: -3.709

***

Which of these has the highest theoretical density?
Ni12Te3H5